# 1
18
Lattice="7.6791 0.0000 0.0000 -3.8396 6.6503 0.0000 0.0000 0.0000 15.5740" Properties=species:S:1:pos:R:3 comment="KScCdI6 (PBE, optimized geometry)" raw_formation_energy_ev_per_atom=-1.054 dos_ef_per_ev_fu=0.00 spacegroup=P-31c dft_energy_ry_per_atom=-0.2215 magnetic_moment_mub_per_fu=0.0 pbc="T T T"
K 0.0000 0.0000 0.0000
I -2.3500 4.2263 5.5978
I 1.4895 2.4240 13.3848
I 2.8440 0.0779 9.9763
I 4.8351 0.0779 13.3848
I 0.9955 6.5724 5.5978
Sc 3.8396 2.2168 11.6805
I 6.1896 2.4240 9.9763
Cd 3.8396 2.2168 3.8935
I 2.4850 4.1483 9.9763
I 2.3500 4.2263 2.1892
I -1.3545 2.5020 2.1892
Cd 0.0000 4.4335 11.6805
I 5.1941 4.1483 13.3848
Sc 0.0000 4.4335 3.8935
I -0.9955 6.5724 2.1892
I 1.3545 2.5020 5.5978
K 0.0000 0.0000 7.7870

# 2
5
Lattice="6.3759 0.0000 0.0000 0.0000 6.3759 0.0000 0.0000 0.0000 5.3632" Properties=species:S:1:pos:R:3 comment="K2CdSeI (PBE, optimized geometry)" raw_formation_energy_ev_per_atom=-0.907 dos_ef_per_ev_fu=0.96 spacegroup=P4/mmm dft_energy_ry_per_atom=-0.1864 magnetic_moment_mub_per_fu=0.0 pbc="T T T"
I 3.1879 3.1879 2.6816
Cd 0.0000 0.0000 2.6816
K 0.0000 3.1879 0.0000
K 3.1879 0.0000 0.0000
Se 0.0000 0.0000 0.0000

# 3
16
Lattice="-6.4393 -3.7956 -4.3241 6.6760 -5.4457 -0.5862 -3.2308 -0.6301 11.0579" Properties=species:S:1:pos:R:3 comment="KCdSnI5 (PBE, optimized geometry)" raw_formation_energy_ev_per_atom=-0.768 dos_ef_per_ev_fu=0.00 spacegroup=C2/c dft_energy_ry_per_atom=-0.1829 magnetic_moment_mub_per_fu=0.0 pbc="T T T"
Cd -3.0653 -4.4792 -0.3678
I -4.0485 -5.4056 -2.8513
I -0.8421 -2.8986 -1.1925
I 4.6931 -5.4554 1.8433
I -2.0265 -6.4702 1.3866
I 1.0544 -4.4657 8.9989
I -2.1520 -6.9727 7.3401
Sn 0.0000 0.0000 0.0000
I -4.9524 -3.1917 1.2977
Cd 0.0712 -5.3922 6.5154
I -0.9676 -3.4012 4.7610
K -4.2974 -4.8425 5.2704
K 1.3034 -5.0289 0.8772
I 1.9583 -6.6797 4.8499
I -7.6872 -4.4160 4.3043
Sn -1.6154 -0.3151 5.5289